# NbOsSCl2 | Alexandria via LeMat-Bulk | PBE-GGA | optimized geometry
# Raw formation energy: 823 meV/atom
# Distance to the lowest polymorph of the same formula: 0.0 meV per atom
# Energy: -25.00 eV/cell
data_NbOsSCl2
_chemical_formula_sum 'Nb1 Os1 S1 Cl2'
_cell_length_a 4.900
_cell_length_b 4.900
_cell_length_c 4.829
_cell_angle_alpha 90.00
_cell_angle_beta 90.00
_cell_angle_gamma 90.00
_space_group_name_H-M_alt 'P 1'
_space_group_IT_number 1
_space_group_name_Hall 'P 1'
loop_
_atom_site_label
_atom_site_type_symbol
_atom_site_fract_x
_atom_site_fract_y
_atom_site_fract_z
_atom_site_occupancy
Nb1 Nb 0.000 0.000 0.000 1
Os1 Os 0.500 0.500 0.500 1
S1 S 0.000 0.000 0.500 1
Cl1 Cl 0.000 0.500 0.000 1
Cl2 Cl 0.500 0.000 0.000 1